TlInRh | PBE-GGA | optimized geometry

Unit cell a=4.5746 b=4.5746 c=4.5746 alpha=60.00 beta=60.00 gamma=60.00
Closest atoms and distances in Å follow each position.
Atoms (fractional coordinates):
In1 0.5000 0.5000 0.5000  4 Rh 2.80
Tl1 0.0000 0.0000 0.0000  4 Rh 2.80
Rh1 0.2500 0.2500 0.2500  4 In 2.80, 4 Tl 2.80

Values from the calculation:
Energy of formation ... -0.0695 eV per atom
E_tot ... -12.66 eV per cell
Polymorph energy (0 for the lowest one) ... 0.0 meV/atom
Volume ... 67.7 Å³/f.u.